The following is a PBE calculation of a relaxed BeRhW2 crystal, from Alexandria.

The total energy comes out at -9.135 eV/atom. The calculation puts the energy relative to the elements at 0.111 eV/atom. For the magnetization, the calculation gives 0.000 μB/atom.

Unit cell a=8.819 b=2.710 c=4.814 alpha=90.00 beta=98.15 gamma=90.00
Space group Cm (No. 8)
Symmetry-distinct sites (fractional):
Be (0.000, 0.000, 0.000)
Rh (0.260, 0.000, 0.756)
W (0.011, 0.500, 0.500)
W (0.248, 0.500, 0.221)